## a
KNaInAg | GGA-PBE | relaxed

Calculated values
DOS(E_F) = 3.7 states/eV/cell
Size of the total moment = 0.0 μB per formula unit

Cell lengths 8.7338, 4.8852, 6.8337 Å; angles 90.00, 114.64, 90.00 degrees
Element x y z (fractional)
K: 0.0000 0.0000 0.0000
K: 0.5000 0.5000 0.0000
Na: 0.1973 0.0000 0.6092
Na: 0.6973 0.5000 0.6092
In: 0.4534 0.0000 0.3750
In: 0.9534 0.5000 0.3750
Ag: 0.2877 0.5000 0.3878
Ag: 0.7877 0.0000 0.3878

## b
KNaInAg | GGA-PBE | relaxed

Calculated values
DOS(E_F) = 11.1 states/eV/cell
Size of the total moment = 0.0 μB per formula unit

Cell lengths 7.6708, 7.6708, 7.6708 Å; angles 90.00, 90.00, 90.00 degrees
Element x y z (fractional)
K: 0.0000 0.0000 0.0000
K: 0.0000 0.5000 0.5000
K: 0.5000 0.0000 0.5000
K: 0.5000 0.5000 0.0000
Na: 0.2500 0.2500 0.2500
Na: 0.2500 0.7500 0.7500
Na: 0.7500 0.2500 0.7500
Na: 0.7500 0.7500 0.2500
In: 0.0000 0.0000 0.5000
In: 0.0000 0.5000 0.0000
In: 0.5000 0.0000 0.0000
In: 0.5000 0.5000 0.5000
Ag: 0.2500 0.2500 0.7500
Ag: 0.2500 0.7500 0.2500
Ag: 0.7500 0.2500 0.2500
Ag: 0.7500 0.7500 0.7500

Q: Which of them is the least stable? A: b.